Density functional theory data (PBE) for BaGe2Sb2 after structural relaxation.

Properties
The total magnetization comes out at 0.00 μB/cell. Its crystal system is tetragonal. The calculation puts the final energy at -4.036 eV per atom.

Cell lengths 8.444, 8.444, 3.975 Å; angles 90.00, 90.00, 90.00 degrees
Element x y z (fractional)
Ge1 0.886 0.614 0.000
Ge2 0.386 0.886 0.000
Ge3 0.114 0.386 0.000
Ge4 0.614 0.114 0.000
Sb1 0.659 0.841 0.500
Sb2 0.159 0.659 0.500
Sb3 0.841 0.341 0.500
Sb4 0.341 0.159 0.500
Ba1 0.000 0.000 0.000
Ba2 0.500 0.500 0.000

---

Density functional theory data (PBE) for Ba2GeSb2 after structural relaxation.

Properties
The relative energy among the computed polymorphs comes out at 0.095 eV/atom. The total magnetization comes out at 0.00 μB/cell. Its crystal system is tetragonal.

Cell lengths 8.178, 8.178, 5.218 Å; angles 90.00, 90.00, 90.00 degrees
Element x y z (fractional)
Ba1 0.679 0.821 0.500
Ba2 0.821 0.321 0.500
Ba3 0.321 0.179 0.500
Ba4 0.179 0.679 0.500
Ge1 0.500 0.500 0.000
Ge2 0.000 0.000 0.000
Sb1 0.126 0.374 0.000
Sb2 0.374 0.874 0.000
Sb3 0.626 0.126 0.000
Sb4 0.874 0.626 0.000